1.
Entry from the Alexandria database: an optimized crystal structure of LiEr2PaS4 (PBE).

Results
Space group   P2/m (10)

a = 6.633 Å, b = 3.820 Å, c = 6.742 Å
α = 90.00°, β = 109.03°, γ = 90.00°
Positions (direct):
Li 0.000 0.000 0.000
Er 0.500 0.000 0.500
Er 0.500 0.500 0.000
Pa 0.000 0.500 0.500
S 0.245 0.500 0.244
S 0.249 0.000 0.759
S 0.751 0.000 0.241
S 0.755 0.500 0.756



2.
Entry from the Alexandria database: an optimized crystal structure of Li3Er2PaS6 (PBE).

Results
Space group   C2/m (12)

a = 6.697 Å, b = 6.697 Å, c = 6.590 Å
α = 99.76°, β = 99.76°, γ = 120.00°
Positions (direct):
Li 0.000 0.000 0.000
Li 0.332 0.668 0.000
Li 0.668 0.332 0.000
Er 0.167 0.833 0.500
Er 0.833 0.167 0.500
Pa 0.500 0.500 0.500
S 0.082 0.415 0.246
S 0.251 0.251 0.754
S 0.415 0.082 0.246
S 0.585 0.918 0.754
S 0.749 0.749 0.246
S 0.918 0.585 0.754



3.
Entry from the Alexandria database: an optimized crystal structure of Li3ErPa3Se8 (PBE).

Results
Space group   R-3m (166)

a = 8.089 Å, b = 8.089 Å, c = 8.089 Å
α = 59.90°, β = 59.90°, γ = 59.90°
Positions (direct):
Li 0.000 0.500 0.500
Li 0.500 0.000 0.500
Li 0.500 0.500 0.000
Er 0.500 0.500 0.500
Pa 0.000 0.000 0.500
Pa 0.000 0.500 0.000
Pa 0.500 0.000 0.000
Se 0.251 0.251 0.745
Se 0.251 0.745 0.251
Se 0.255 0.255 0.255
Se 0.255 0.749 0.749
Se 0.745 0.251 0.251
Se 0.745 0.745 0.745
Se 0.749 0.255 0.749
Se 0.749 0.749 0.255



Short version: total moment = 0.00; 1.48; 4.95 μB per formula unit, in the order given.
Short version: raw formation energy = -1.774; -1.694; -1.384 eV/atom, in the order given.